No. 1
# CaNdDyIn PBE relaxed
data_CaNdDyIn
_chemical_formula_sum 'Ca4 Nd4 Dy4 In4'
_cell_length_a 7.8582
_cell_length_b 7.8582
_cell_length_c 7.8582
_cell_angle_alpha 90.00
_cell_angle_beta 90.00
_cell_angle_gamma 90.00
_space_group_name_H-M_alt 'F -4 3 m'
_space_group_IT_number 216
_space_group_name_Hall 'F -4 2 3'
loop_
_atom_site_label
_atom_site_type_symbol
_atom_site_fract_x
_atom_site_fract_y
_atom_site_fract_z
_atom_site_occupancy
Ca1 Ca 0.0000 0.0000 0.0000 1
Nd1 Nd 0.2500 0.2500 0.2500 1
Dy1 Dy 0.2500 0.2500 0.7500 1
In1 In 0.0000 0.0000 0.5000 1
# energy	-3.691	eV per atom
# formation enthalpy at 0 K	-0.1638	eV per atom



No. 2
# BeHgC2 PBE relaxed
data_BeHgC2
_chemical_formula_sum 'Be4 Hg4 C8'
_cell_length_a 3.8917
_cell_length_b 3.8917
_cell_length_c 11.9212
_cell_angle_alpha 90.00
_cell_angle_beta 90.00
_cell_angle_gamma 90.00
_space_group_name_H-M_alt 'I -4 2 d'
_space_group_IT_number 122
_space_group_name_Hall 'I -4 2bw'
loop_
_atom_site_label
_atom_site_type_symbol
_atom_site_fract_x
_atom_site_fract_y
_atom_site_fract_z
_atom_site_occupancy
Be1 Be 0.0000 0.0000 0.0000 1
Hg1 Hg 0.0000 0.0000 0.5000 1
C1 C 0.0715 0.2500 0.1250 1
# energy	-4.053	eV per atom
# formation enthalpy at 0 K	1.5655	eV per atom
# relative energy among the computed polymorphs	0	meV per atom



No. 3
# Be2TeIrSe PBE relaxed
data_Be2TeIrSe
_chemical_formula_sum 'Be2 Te1 Ir1 Se1'
_cell_length_a 4.0580
_cell_length_b 4.0580
_cell_length_c 5.7247
_cell_angle_alpha 90.00
_cell_angle_beta 90.00
_cell_angle_gamma 90.00
_space_group_name_H-M_alt 'P 4/m m m'
_space_group_IT_number 123
_space_group_name_Hall '-P 4 2'
loop_
_atom_site_label
_atom_site_type_symbol
_atom_site_fract_x
_atom_site_fract_y
_atom_site_fract_z
_atom_site_occupancy
Be1 Be 0.0000 0.5000 0.0000 1
Te1 Te 0.0000 0.0000 0.5000 1
Ir1 Ir 0.5000 0.5000 0.5000 1
Se1 Se 0.0000 0.0000 0.0000 1
# energy	-3.512	eV per atom
# formation energy (no corrections)	1.08	eV/atom



No. 4
# Ca3PmCu8 PBE relaxed
data_Ca3PmCu8
_chemical_formula_sum 'Ca9 Pm3 Cu24'
_cell_length_a 5.3841
_cell_length_b 5.3841
_cell_length_c 25.5102
_cell_angle_alpha 90.00
_cell_angle_beta 90.00
_cell_angle_gamma 120.00
_space_group_name_H-M_alt 'R 3 m'
_space_group_IT_number 160
_space_group_name_Hall 'R 3 -2"'
loop_
_atom_site_label
_atom_site_type_symbol
_atom_site_fract_x
_atom_site_fract_y
_atom_site_fract_z
_atom_site_occupancy
Ca1 Ca 0.0000 0.0000 0.0000 1
Ca2 Ca 0.0000 0.0000 0.1257 1
Ca3 Ca 0.0000 0.0000 0.4976 1
Pm1 Pm 0.0000 0.0000 0.6246 1
Cu1 Cu 0.0000 0.0000 0.3117 1
Cu2 Cu 0.0000 0.0000 0.8111 1
Cu3 Cu 0.0008 0.5004 0.0609 1
Cu4 Cu 0.0053 0.5027 0.5621 1
# energy	-3.723	eV per atom
# formation enthalpy at 0 K	-0.0955	eV per atom



Question: energy of number 4 (Ca3PmCu8)?
Answer: -3.723 eV per atom